DFT (PBEsol) results for a geometry-optimized Y5Ge2Sb2 structure.

Values from the calculation:
E_form (uncorrected) = -1.058 eV per atom

Cell lengths 14.9655, 7.8123, 7.8321 Å; angles 90.00, 90.00, 90.00 degrees
Last column: nearest neighbours and their distance in Å.
Space group Cmce (No. 64)
Asymmetric unit:
Y: 0.0000 0.0000 0.0000 (multiplicity 4)  4 Ge 3.03-3.04, 2 Sb 3.07
Y: 0.1279 0.1655 0.3354 (multiplicity 16)  3 Ge 2.91-3.05, 3 Sb 3.09-3.15
Ge: 0.0000 0.1373 0.6366 (multiplicity 8)  8 Y 2.91-3.05, 1 Ge 3.03
Sb: 0.2051 0.0000 0.0000 (multiplicity 8)  7 Y 3.07-3.15